1.
DFT (PBE) results for a geometry-optimized Dy3Er2Tm2Ni2Te2 structure.

Lattice parameters (Å, degrees): 9.2929 9.2929 9.2929 156.21 66.92 118.48
With the nearest neighbours (Å) after each atom.
Element x y z (fractional)
Ni  0.9910  0.7535  0.2374  2 Dy 2.77, 2 Er 2.78, 2 Tm 2.81
Er  0.1310  0.2640  0.8670  2 Ni 2.78
Te  0.0187  0.0187  0.0000  2 Er 3.11, 4 Tm 3.14, 1 Dy 3.21
Te  0.4158  0.9158  0.5000  4 Er 3.16, 4 Dy 3.17-3.19
Dy  0.3749  0.0603  0.3146  2 Ni 2.77
Dy  0.7457  0.0603  0.6854  2 Ni 2.77
Dy  0.6814  0.6814  0.0000  3 Te 3.17-3.21
Er  0.3970  0.2640  0.1330  2 Ni 2.78
Tm  0.0579  0.4115  0.6465  2 Ni 2.81, 2 Te 3.14
Tm  0.7650  0.4115  0.3535  2 Ni 2.81, 2 Te 3.14
Ni  0.5161  0.7535  0.7626  2 Dy 2.77, 2 Er 2.78, 2 Tm 2.81

## Properties
space-group type = Imm2, No. 44
energy above the most stable polymorph in this dataset = 0.0093 eV per atom


2.
DFT (PBE) results for a geometry-optimized CoHgGeIr structure.

Lattice parameters (Å, degrees): 4.4281 4.4281 4.4281 60.00 60.00 60.00
With the nearest neighbours (Å) after each atom.
Element x y z (fractional)
Ge  0.0000  0.0000  0.0000  4 Co 2.71, 4 Ir 2.71
Ir  0.2500  0.2500  0.2500  4 Hg 2.71, 4 Ge 2.71
Co  0.7500  0.7500  0.7500  4 Hg 2.71, 4 Ge 2.71
Hg  0.5000  0.5000  0.5000  4 Co 2.71, 4 Ir 2.71

## Properties
space-group type = F-43m, No. 216
energy above the most stable polymorph in this dataset = 0.0000 eV per atom


- Which value of energy above the most stable polymorph in this dataset does entry 1 give?
  0.0093 eV per atom